DFT (PBE-GGA) results for a relaxed CeCdBi2 crystal.

Summary:
DFT formation energy: -1.00 eV/f.u.
calculated density: 9.39 g cm⁻³

The structure in CIF format:
```
data_CeCdBi2
_symmetry_space_group_name_H-M 'R -3 m'
_symmetry_Int_Tables_number 166
_symmetry_space_group_name_Hall '-R 3 2"'
_cell_length_a 5.2176
_cell_length_b 5.2176
_cell_length_c 15.0924
_cell_angle_alpha 90.00
_cell_angle_beta 90.00
_cell_angle_gamma 120.00
loop_
_atom_site_label
_atom_site_fract_x
_atom_site_fract_y
_atom_site_fract_z
Ce1 0.0000 0.0000 0.0000
Cd1 0.0000 0.0000 0.5000
Bi1 0.0000 0.0000 0.2358
```